Below is a relaxed structure of MnTlBrF2, with properties calculated at the PBE with a Hubbard U level.

Properties
calculated volume: 106.50 Å³/f.u.
uncorrected energy: -4.839 eV/atom
symmetry: P4/mmm, No. 123

Cell lengths 4.399, 4.399, 5.503 Å; angles 90.00, 90.00, 90.00 degrees
Atoms (fractional coordinates):
1 Mn 0.000 0.000 0.000
2 Tl 0.500 0.500 0.500
3 Br 0.000 0.000 0.500
4 F 0.000 0.500 0.000
5 F 0.500 0.000 0.000